## Cs2LaHoSe4 (PBE)

Data for crystalline Cs2LaHoSe4 at its relaxed geometry.

a b c (Å): 4.373 7.578 8.754
angles (deg): 106.74 90.00 90.00
Fractional positions:
Se (0.000, 0.258, 0.811)
Se (0.500, 0.218, 0.186)
Se (0.000, 0.742, 0.189)
Se (0.500, 0.782, 0.814)
Ho (0.000, 0.000, 0.000)
Cs (0.000, 0.500, 0.500)
Cs (0.500, 0.000, 0.500)
La (0.500, 0.500, 0.000)

Space-group type: P2/m
Mass density, g cm⁻³: 5.29
ΔE_f (raw), meV/atom: -1759
Density of states at the Fermi level, states/eV/atom: 0.0000